No. 1
# LiLa2Cd

LiLa2Cd at its PBEsol-relaxed geometry (meta-GGA SCAN, the Alexandria database).

The structure in POSCAR format:
```
LiLa2Cd
1.0
-2.3119 2.3119 5.1087
2.3119 -2.3119 5.1087
2.3119 2.3119 -5.1087
Li La Cd
1 2 1
Cartesian
0.0000 0.0000 0.0000
2.3119 0.0000 2.5544
0.0000 0.0000 5.1087
0.0000 2.3119 2.5544
```

Computed properties:
The crystal system is tetragonal. The space-group type is I-4m2 (119). As for the total energy: -119.5 eV per cell. For the volume, the calculation gives 109.2 Å³/cell.



No. 2
# Li2LaCd

Li2LaCd at its PBEsol-relaxed geometry (meta-GGA SCAN, the Alexandria database).

The structure in POSCAR format:
```
Li2LaCd
1.0
0.0000 3.6439 3.6439
3.6439 0.0000 3.6439
3.6439 3.6439 0.0000
Li La Cd
2 1 1
Cartesian
0.0000 0.0000 0.0000
1.8220 1.8220 1.8220
5.4659 5.4659 5.4659
3.6439 3.6439 3.6439
```

Computed properties:
The crystal system is cubic. The space-group type is F-43m (216). As for the total energy: -78.9 eV per cell. For the volume, the calculation gives 96.8 Å³/cell.



No. 3
# Li2LaCd

Li2LaCd at its PBEsol-relaxed geometry (meta-GGA SCAN, the Alexandria database).

The structure in POSCAR format:
```
Li2LaCd
1.0
3.2671 0.0000 0.0000
0.0000 5.2604 0.0000
-0.3350 0.0000 5.6924
Li La Cd
2 1 1
Cartesian
0.4257 0.0000 1.6005
2.5064 0.0000 4.0919
1.6335 2.6302 0.0000
-0.1675 2.6302 2.8462
```

Computed properties:
The crystal system is monoclinic. The space-group type is P2/m (10). As for the total energy: -78.7 eV per cell. For the volume, the calculation gives 97.8 Å³/cell.